P.
This record from the Alexandria database describes crystalline IrOsRh2 at its relaxed geometry. The functional is PBE.

Geometry as POSCAR:
```
IrOsRh2
1.0
2.685 -4.697 0.000
2.685 4.697 0.000
-1.335 0.000 2.332
Ir Os Rh
1 1 2
Direct
0.000 0.000 0.000
0.500 0.500 0.000
0.000 0.500 0.000
0.500 0.000 0.000
```

Summary:
space-group type = No. 12


Q.
This record from the Alexandria database describes crystalline IrOsRh2 at its relaxed geometry. The functional is PBE.

Geometry as POSCAR:
```
IrOsRh2
1.0
1.344 -2.325 0.000
1.344 2.325 0.000
0.000 0.000 9.419
Ir Os Rh
1 1 2
Direct
0.000 0.000 0.000
0.000 0.000 0.500
0.500 0.500 0.251
0.500 0.500 0.749
```

Summary:
space-group type = No. 65


R.
This record from the Alexandria database describes crystalline IrOsRh2 at its relaxed geometry. The functional is PBE.

Geometry as POSCAR:
```
IrOsRh2
1.0
2.465 -4.804 0.000
2.465 4.804 0.000
0.000 0.000 2.648
Ir Os Rh
1 1 2
Direct
0.000 0.000 0.000
0.500 0.500 0.500
0.248 0.752 0.500
0.752 0.248 0.500
```

Summary:
space-group type = No. 65


S.
This record from the Alexandria database describes crystalline IrOsRh2 at its relaxed geometry. The functional is PBE.

Geometry as POSCAR:
```
IrOsRh2
1.0
2.186 1.262 3.570
-2.186 1.262 3.570
0.000 -2.524 3.570
Ir Os Rh
1 1 2
Direct
0.000 0.000 0.000
0.250 0.250 0.250
0.499 0.499 0.499
0.749 0.749 0.749
```

Summary:
space-group type = No. 160


What should be chosen as the least stable of them? Choose R.


P.
This record from the Alexandria database describes crystalline Ir2Os3Rh at its relaxed geometry. The functional is PBE.

Geometry as POSCAR:
```
Ir2Os3Rh
1.0
6.821 -1.366 0.000
6.821 1.366 0.000
-2.317 0.000 9.412
Ir Os Rh
4 6 2
Direct
0.069 0.069 0.190
0.242 0.242 0.117
0.758 0.758 0.883
0.931 0.931 0.810
0.102 0.102 0.689
0.239 0.239 0.385
0.427 0.427 0.568
0.573 0.573 0.432
0.761 0.761 0.615
0.898 0.898 0.311
0.414 0.414 0.051
0.586 0.586 0.949
```

Summary:
space-group type = No. 12


Q.
This record from the Alexandria database describes crystalline Ir2Os3Rh at its relaxed geometry. The functional is PBE.

Geometry as POSCAR:
```
Ir2Os3Rh
1.0
2.278 -7.322 0.000
2.278 7.322 0.000
0.000 0.000 2.700
Ir Os Rh
2 3 1
Direct
0.152 0.848 0.000
0.848 0.152 0.000
0.000 0.000 0.500
0.312 0.688 0.500
0.688 0.312 0.500
0.500 0.500 0.000
```

Summary:
space-group type = No. 65


What should be chosen as the least stable of them? Choose Q.


P.
This record from the Alexandria database describes crystalline IrOs2Rh at its relaxed geometry. The functional is PBE.

Geometry as POSCAR:
```
IrOs2Rh
1.0
2.727 0.000 0.000
0.000 1.362 7.957
0.000 -1.362 7.957
Ir Os Rh
1 2 1
Direct
0.000 0.000 0.000
0.000 0.239 0.239
0.500 0.616 0.616
0.500 0.856 0.856
```

Summary:
space-group type = No. 38


Q.
This record from the Alexandria database describes crystalline IrOs2Rh at its relaxed geometry. The functional is PBE.

Geometry as POSCAR:
```
IrOs2Rh
1.0
1.365 0.788 8.903
-1.365 0.788 8.903
0.000 -1.576 8.903
Ir Os Rh
1 2 1
Direct
0.000 0.000 0.000
0.250 0.250 0.250
0.750 0.750 0.750
0.500 0.500 0.500
```

Summary:
space-group type = No. 166


R.
This record from the Alexandria database describes crystalline IrOs2Rh at its relaxed geometry. The functional is PBE.

Geometry as POSCAR:
```
IrOs2Rh
1.0
2.714 0.000 0.000
0.000 3.898 0.000
0.000 0.000 5.412
Ir Os Rh
1 2 1
Direct
0.000 0.000 0.000
0.500 0.500 0.250
0.500 0.500 0.750
0.000 0.000 0.500
```

Summary:
space-group type = No. 47


What should be chosen as the least stable of them? Choose P.


P.
This record from the Alexandria database describes crystalline IrOs2Rh at its relaxed geometry. The functional is PBE.

Geometry as POSCAR:
```
IrOs2Rh
1.0
-1.930 1.930 3.844
1.930 -1.930 3.844
1.930 1.930 -3.844
Ir Os Rh
1 2 1
Direct
0.000 0.000 0.000
0.250 0.750 0.500
0.500 0.500 0.000
0.750 0.250 0.500
```

Summary:
space-group type = No. 119


Q.
This record from the Alexandria database describes crystalline IrOs2Rh at its relaxed geometry. The functional is PBE.

Geometry as POSCAR:
```
IrOs2Rh
1.0
-2.779 2.779 5.521
2.779 -2.779 5.521
2.779 2.779 -5.521
Ir Os Rh
2 4 2
Direct
0.000 0.000 0.000
0.750 0.250 0.500
0.124 0.625 0.999
0.375 0.374 0.499
0.626 0.125 0.001
0.875 0.876 0.501
0.250 0.750 0.500
0.500 0.500 0.000
```

Summary:
space-group type = No. 122


R.
This record from the Alexandria database describes crystalline IrOs2Rh at its relaxed geometry. The functional is PBE.

Geometry as POSCAR:
```
IrOs2Rh
1.0
4.528 -1.359 0.000
4.528 1.359 0.000
-0.799 0.000 4.657
Ir Os Rh
1 2 1
Direct
0.000 0.000 0.000
0.494 0.494 0.492
0.747 0.747 0.250
0.244 0.244 0.744
```

Summary:
space-group type = No. 8


What should be chosen as the least stable of them? Choose Q.


P.
This record from the Alexandria database describes crystalline IrOs2Rh at its relaxed geometry. The functional is PBE.

Geometry as POSCAR:
```
IrOs2Rh
1.0
-1.916 1.916 3.898
1.916 -1.916 3.898
1.916 1.916 -3.898
Ir Os Rh
1 2 1
Direct
0.000 0.000 0.000
0.250 0.750 0.500
0.750 0.250 0.500
0.500 0.500 0.000
```

Summary:
space-group type = No. 139


Q.
This record from the Alexandria database describes crystalline IrOs2Rh at its relaxed geometry. The functional is PBE.

Geometry as POSCAR:
```
IrOs2Rh
1.0
2.727 0.000 0.000
0.000 3.854 0.000
0.000 0.000 5.452
Ir Os Rh
1 2 1
Direct
0.000 0.000 0.000
0.000 0.000 0.494
0.500 0.500 0.252
0.500 0.500 0.747
```

Summary:
space-group type = No. 25


R.
This record from the Alexandria database describes crystalline IrOs2Rh at its relaxed geometry. The functional is PBE.

Geometry as POSCAR:
```
IrOs2Rh
1.0
2.713 0.000 0.000
0.000 2.713 0.000
0.000 0.000 7.786
Ir Os Rh
1 2 1
Direct
0.000 0.000 0.000
0.500 0.500 0.249
0.500 0.500 0.751
0.000 0.000 0.500
```

Summary:
space-group type = No. 123


S.
This record from the Alexandria database describes crystalline IrOs2Rh at its relaxed geometry. The functional is PBE.

Geometry as POSCAR:
```
IrOs2Rh
1.0
4.231 0.000 0.000
0.000 1.348 5.077
0.000 -1.348 5.077
Ir Os Rh
1 2 1
Direct
0.000 0.000 0.000
0.000 0.255 0.255
0.500 0.603 0.603
0.500 0.857 0.857
```

Summary:
space-group type = No. 38


What should be chosen as the least stable of them? Choose S.


P.
This record from the Alexandria database describes crystalline IrOs2Rh at its relaxed geometry. The functional is PBE.

Geometry as POSCAR:
```
IrOs2Rh
1.0
0.000 3.094 3.094
3.094 0.000 3.094
3.094 3.094 0.000
Ir Os Rh
1 2 1
Direct
0.000 0.000 0.000
0.500 0.500 0.500
0.750 0.750 0.750
0.250 0.250 0.250
```

Summary:
space-group type = No. 216


Q.
This record from the Alexandria database describes crystalline IrOs2Rh at its relaxed geometry. The functional is PBE.

Geometry as POSCAR:
```
IrOs2Rh
1.0
4.530 -1.360 0.000
4.530 1.360 0.000
-0.817 0.000 4.648
Ir Os Rh
1 2 1
Direct
0.000 0.000 0.000
0.252 0.252 0.752
0.748 0.748 0.248
0.500 0.500 0.500
```

Summary:
space-group type = No. 12


R.
This record from the Alexandria database describes crystalline IrOs2Rh at its relaxed geometry. The functional is PBE.

Geometry as POSCAR:
```
IrOs2Rh
1.0
2.714 -3.897 0.000
2.714 3.897 0.000
0.000 0.000 2.707
Ir Os Rh
1 2 1
Direct
0.000 0.000 0.000
0.000 0.500 0.500
0.500 0.000 0.500
0.500 0.500 0.000
```

Summary:
space-group type = No. 65


S.
This record from the Alexandria database describes crystalline IrOs2Rh at its relaxed geometry. The functional is PBE.

Geometry as POSCAR:
```
IrOs2Rh
1.0
4.695 0.000 0.000
0.000 4.695 0.000
0.000 0.000 2.695
Ir Os Rh
1 2 1
Direct
0.000 0.000 0.000
0.000 0.500 0.500
0.500 0.000 0.500
0.500 0.500 0.000
```

Summary:
space-group type = No. 123


What should be chosen as the least stable of them? Choose P.


P.
This record from the Alexandria database describes crystalline Ir4OsRh3 at its relaxed geometry. The functional is PBE.

Geometry as POSCAR:
```
Ir4OsRh3
1.0
6.003 -2.256 0.000
6.003 2.256 0.000
-1.840 0.000 4.400
Ir Os Rh
4 1 3
Direct
0.122 0.122 0.086
0.252 0.252 0.684
0.748 0.748 0.316
0.878 0.878 0.914
0.500 0.500 0.000
0.000 0.000 0.500
0.364 0.364 0.296
0.636 0.636 0.704
```

Summary:
space-group type = No. 12


Q.
This record from the Alexandria database describes crystalline Ir4OsRh3 at its relaxed geometry. The functional is PBE.

Geometry as POSCAR:
```
Ir4OsRh3
1.0
4.315 -1.929 0.000
4.315 1.929 0.000
-3.448 0.000 6.898
Ir Os Rh
4 1 3
Direct
0.248 0.248 0.123
0.251 0.251 0.627
0.749 0.749 0.373
0.752 0.752 0.877
0.500 0.500 0.000
0.001 0.001 0.247
0.500 0.500 0.500
0.999 0.999 0.753
```

Summary:
space-group type = No. 12


What should be chosen as the least stable of them? Choose P.


P.
This record from the Alexandria database describes crystalline IrOs3Rh2 at its relaxed geometry. The functional is PBE.

Geometry as POSCAR:
```
IrOs3Rh2
1.0
7.711 0.000 0.000
0.000 2.720 0.000
-0.005 0.000 8.189
Ir Os Rh
2 6 4
Direct
0.125 0.250 0.254
0.875 0.750 0.746
0.123 0.250 0.584
0.375 0.750 0.755
0.377 0.750 0.081
0.623 0.250 0.919
0.625 0.250 0.245
0.877 0.750 0.416
0.128 0.250 0.913
0.376 0.750 0.416
0.624 0.250 0.584
0.872 0.750 0.087
```

Summary:
space-group type = No. 11


Q.
This record from the Alexandria database describes crystalline IrOs3Rh2 at its relaxed geometry. The functional is PBE.

Geometry as POSCAR:
```
IrOs3Rh2
1.0
2.251 -7.357 0.000
2.251 7.357 0.000
0.000 0.000 2.707
Ir Os Rh
1 3 2
Direct
0.000 0.000 0.000
0.151 0.849 0.500
0.500 0.500 0.500
0.849 0.151 0.500
0.310 0.690 0.000
0.690 0.310 0.000
```

Summary:
space-group type = No. 65


What should be chosen as the least stable of them? Choose Q.